No. 1
Computed, not measured: a geometry-optimized AgHSe2I structure at the PBE level of DFT.

N(E_F)	4.5	states/eV/f.u.
SG	P4/mmm, No. 123

Cell: 5.1653 5.1653 5.8118 Å, 90.00 90.00 90.00°
With the nearest neighbours (Å) after each atom.
Fractional positions:
Ag  0.0000  0.0000  0.0000  4 Se 2.58
H  0.5000  0.5000  0.5000  4 I 3.65, 8 Se 3.89
Se  0.0000  0.5000  0.0000  2 Ag 2.58
Se  0.5000  0.0000  0.0000  2 Ag 2.58
I  0.0000  0.0000  0.5000  2 Ag 2.91



No. 2
Computed, not measured: a geometry-optimized BaTa2 structure at the PBE level of DFT.

N(E_F)	3.1	states/eV/f.u.
excess energy over the best structure of this formula in the dataset	224	meV/atom
SG	C2/m, No. 12
energy of formation from the pure elements	769	meV per atom

Cell: 8.1750 8.1750 6.5928 Å, 107.95 107.95 23.77°
With the nearest neighbours (Å) after each atom.
Fractional positions:
Ba  0.0415  0.0415  0.2888  4 Ba 3.37-3.62, 5 Ta 3.55-3.69
Ba  0.9585  0.9585  0.7112  4 Ba 3.37-3.62, 5 Ta 3.55-3.69
Ta  0.2703  0.2703  0.3499  5 Ta 2.76-2.83
Ta  0.3176  0.3176  0.9814  5 Ta 2.76-2.81
Ta  0.6824  0.6824  0.0186  5 Ta 2.76-2.81
Ta  0.7297  0.7297  0.6501  5 Ta 2.76-2.83



No. 3
Computed, not measured: a geometry-optimized Ba2Hf2Mo structure at the PBE level of DFT.

N(E_F)	5.8	states/eV/f.u.
excess energy over the best structure of this formula in the dataset	727	meV/atom
SG	I4/mmm, No. 139
energy of formation from the pure elements	1468	meV per atom

Cell: 9.1280 9.1280 9.1280 Å, 153.90 153.90 37.24°
With the nearest neighbours (Å) after each atom.
Fractional positions:
Ba  0.2500  0.7500  0.5000  4 Ba 2.91
Ba  0.7500  0.2500  0.5000  4 Ba 2.91
Hf  0.0761  0.0761  0.0000  1 Hf 2.63
Hf  0.9239  0.9239  0.0000  1 Hf 2.63
Mo  0.5000  0.5000  0.0000  8 Hf 3.20



No. 4
Computed, not measured: a geometry-optimized GeSN structure at the PBE level of DFT.

N(E_F)	0.5	states/eV/f.u.
excess energy over the best structure of this formula in the dataset	420	meV/atom
SG	Cm, No. 8
raw formation energy	485.6	meV per atom

Cell: 3.6591 3.6591 4.6013 Å, 113.41 113.41 59.47°
With the nearest neighbours (Å) after each atom.
Fractional positions:
Ge  0.0000  0.0000  0.0000  3 N 2.24-2.33
S  0.5435  0.5435  0.6369  1 N 1.69
N  0.3966  0.3966  0.2249  1 S 1.69



No. 5
Computed, not measured: a geometry-optimized Sr2MgAgRh structure at the PBE level of DFT.

N(E_F)	2.0	states/eV/f.u.
SG	P4/mmm, No. 123
energy of formation from the pure elements	-115	meV per atom

Cell: 5.7361 5.7361 4.9444 Å, 90.00 90.00 90.00°
With the nearest neighbours (Å) after each atom.
Fractional positions:
Sr  0.0000  0.5000  0.0000  2 Rh 2.87
Sr  0.5000  0.0000  0.0000  2 Rh 2.87
Mg  0.0000  0.0000  0.5000  2 Rh 2.47
Ag  0.5000  0.5000  0.5000  8 Sr 3.79, 4 Mg 4.06
Rh  0.0000  0.0000  0.0000  2 Mg 2.47



No. 6
Computed, not measured: a geometry-optimized Ta4BeRu structure at the PBE level of DFT.

N(E_F)	5.7	states/eV/f.u.
SG	F-43m, No. 216
energy of formation from the pure elements	615	meV per atom

Cell: 5.3118 5.3118 5.3118 Å, 60.00 60.00 60.00°
With the nearest neighbours (Å) after each atom.
Fractional positions:
Ta  0.1248  0.1248  0.1248  6 Ta 2.65-2.66
Ta  0.1248  0.1248  0.6256  6 Ta 2.65-2.66
Ta  0.1248  0.6256  0.1248  6 Ta 2.65-2.66
Ta  0.6256  0.1248  0.1248  6 Ta 2.65-2.66
Be  0.7500  0.7500  0.7500  12 Ta 3.11, 4 Ru 3.25
Ru  0.5000  0.5000  0.5000  12 Ta 3.11, 4 Be 3.25



No. 7
Computed, not measured: a geometry-optimized Ti12Zn3Ag structure at the PBE level of DFT.

N(E_F)	23.1	states/eV/f.u.
SG	P4/mmm, No. 123
energy of formation from the pure elements	-54	meV per atom

Cell: 4.0289 4.0289 16.1821 Å, 90.00 90.00 90.00°
With the nearest neighbours (Å) after each atom.
Fractional positions:
Ti  0.0000  0.0000  0.0000  8 Ti 2.84, 4 Zn 2.85
Ti  0.0000  0.0000  0.2477  8 Ti 2.83-2.84, 4 Zn 2.85
Ti  0.0000  0.0000  0.5000  4 Ag 2.85, 8 Ti 2.91
Ti  0.0000  0.0000  0.7523  8 Ti 2.83-2.84, 4 Zn 2.85
Ti  0.0000  0.5000  0.1235  8 Ti 2.84-2.85, 4 Zn 2.84
Ti  0.0000  0.5000  0.3701  8 Ti 2.83-2.91, 2 Zn 2.83, 2 Ag 2.91
Ti  0.0000  0.5000  0.6299  8 Ti 2.83-2.91, 2 Zn 2.83, 2 Ag 2.91
Ti  0.0000  0.5000  0.8765  8 Ti 2.84-2.85, 4 Zn 2.84
Ti  0.5000  0.0000  0.1235  8 Ti 2.84-2.85, 4 Zn 2.84
Ti  0.5000  0.0000  0.3701  8 Ti 2.83-2.91, 2 Zn 2.83, 2 Ag 2.91
Ti  0.5000  0.0000  0.6299  8 Ti 2.83-2.91, 2 Zn 2.83, 2 Ag 2.91
Ti  0.5000  0.0000  0.8765  8 Ti 2.84-2.85, 4 Zn 2.84
Zn  0.5000  0.5000  0.0000  12 Ti 2.84-2.85
Zn  0.5000  0.5000  0.2476  12 Ti 2.83-2.85
Zn  0.5000  0.5000  0.7524  12 Ti 2.83-2.85
Ag  0.5000  0.5000  0.5000  12 Ti 2.85-2.91



No. 8
Computed, not measured: a geometry-optimized BaReP2 structure at the PBE level of DFT.

N(E_F)	3.2	states/eV/f.u.
SG	Pmmm, No. 47
energy of formation from the pure elements	-82	meV per atom

Cell: 3.5498 4.1127 6.2396 Å, 90.00 90.00 90.00°
With the nearest neighbours (Å) after each atom.
Fractional positions:
Ba  0.0000  0.0000  0.0000  8 P 3.35, 2 Ba 3.55, 4 Re 3.59
Re  0.5000  0.0000  0.5000  4 P 2.36
P  0.5000  0.5000  0.3128  1 P 2.34, 2 Re 2.36
P  0.5000  0.5000  0.6872  1 P 2.34, 2 Re 2.36



No. 9
Computed, not measured: a geometry-optimized Nd3Dy12Mg5 structure at the PBE level of DFT.

N(E_F)	29.7	states/eV/f.u.
SG	Ia-3d, No. 230
energy of formation from the pure elements	779	meV per atom

Cell: 16.0833 16.0833 16.0833 Å, 109.47 109.47 109.47°
With the nearest neighbours (Å) after each atom.
Fractional positions:
Nd  0.1250  0.2500  0.3750  8 Dy 3.27-3.46
Nd  0.1250  0.3750  0.7500  8 Dy 3.27-3.46
Nd  0.2500  0.3750  0.1250  8 Dy 3.27-3.46
Nd  0.2500  0.8750  0.6250  8 Dy 3.27-3.46
Nd  0.3750  0.1250  0.2500  8 Dy 3.27-3.46
Nd  0.3750  0.7500  0.1250  8 Dy 3.27-3.46
Nd  0.6250  0.2500  0.8750  8 Dy 3.27-3.46
Nd  0.6250  0.8750  0.7500  8 Dy 3.27-3.46
Nd  0.7500  0.1250  0.3750  8 Dy 3.27-3.46
Nd  0.7500  0.6250  0.8750  8 Dy 3.27-3.46
Nd  0.8750  0.6250  0.2500  8 Dy 3.27-3.46
Nd  0.8750  0.7500  0.6250  8 Dy 3.27-3.46
Dy  0.0649  0.2227  0.1364  2 Mg 3.08-3.18, 1 Nd 3.27
Dy  0.0649  0.3422  0.9285  2 Mg 3.08-3.18, 1 Nd 3.27
Dy  0.0715  0.6364  0.4137  2 Mg 3.08-3.18, 1 Nd 3.27
Dy  0.0715  0.9351  0.6578  2 Mg 3.08-3.18, 1 Nd 3.27
Dy  0.0863  0.7227  0.6578  2 Mg 3.08-3.18, 1 Nd 3.27
Dy  0.0863  0.8636  0.4285  2 Mg 3.08-3.18, 1 Nd 3.27
Dy  0.1364  0.0649  0.2227  2 Mg 3.08-3.18, 1 Nd 3.27
Dy  0.1364  0.5715  0.9137  2 Mg 3.08-3.18, 1 Nd 3.27
Dy  0.1578  0.2227  0.5863  2 Mg 3.08-3.18, 1 Nd 3.27
Dy  0.1578  0.4351  0.5715  2 Mg 3.08-3.18, 1 Nd 3.27
Dy  0.2227  0.1364  0.0649  2 Mg 3.08-3.18, 1 Nd 3.27
Dy  0.2227  0.5863  0.1578  2 Mg 3.08-3.18, 1 Nd 3.27
Dy  0.2773  0.3422  0.9137  2 Mg 3.08-3.18, 1 Nd 3.27
Dy  0.2773  0.4351  0.3636  2 Mg 3.08-3.18, 1 Nd 3.27
Dy  0.3422  0.9137  0.2773  2 Mg 3.08-3.18, 1 Nd 3.27
Dy  0.3422  0.9285  0.0649  2 Mg 3.08-3.18, 1 Nd 3.27
Dy  0.3636  0.2773  0.4351  2 Mg 3.08-3.18, 1 Nd 3.27
Dy  0.3636  0.5863  0.9285  2 Mg 3.08-3.18, 1 Nd 3.27
Dy  0.4137  0.0715  0.6364  2 Mg 3.08-3.18, 1 Nd 3.27
Dy  0.4137  0.8422  0.7773  2 Mg 3.08-3.18, 1 Nd 3.27
Dy  0.4285  0.0863  0.8636  2 Mg 3.08-3.18, 1 Nd 3.27
Dy  0.4285  0.8422  0.5649  2 Mg 3.08-3.18, 1 Nd 3.27
Dy  0.4351  0.3636  0.2773  2 Mg 3.08-3.18, 1 Nd 3.27
Dy  0.4351  0.5715  0.1578  2 Mg 3.08-3.18, 1 Nd 3.27
Dy  0.5649  0.4285  0.8422  2 Mg 3.08-3.18, 1 Nd 3.27
Dy  0.5649  0.6364  0.7227  2 Mg 3.08-3.18, 1 Nd 3.27
Dy  0.5715  0.1578  0.4351  2 Mg 3.08-3.18, 1 Nd 3.27
Dy  0.5715  0.9137  0.1364  2 Mg 3.08-3.18, 1 Nd 3.27
Dy  0.5863  0.1578  0.2227  2 Mg 3.08-3.18, 1 Nd 3.27
Dy  0.5863  0.9285  0.3636  2 Mg 3.08-3.18, 1 Nd 3.27
Dy  0.6364  0.4137  0.0715  2 Mg 3.08-3.18, 1 Nd 3.27
Dy  0.6364  0.7227  0.5649  2 Mg 3.08-3.18, 1 Nd 3.27
Dy  0.6578  0.0715  0.9351  2 Mg 3.08-3.18, 1 Nd 3.27
Dy  0.6578  0.0863  0.7227  2 Mg 3.08-3.18, 1 Nd 3.27
Dy  0.7227  0.5649  0.6364  2 Mg 3.08-3.18, 1 Nd 3.27
Dy  0.7227  0.6578  0.0863  2 Mg 3.08-3.18, 1 Nd 3.27
Dy  0.7773  0.4137  0.8422  2 Mg 3.08-3.18, 1 Nd 3.27
Dy  0.7773  0.8636  0.9351  2 Mg 3.08-3.18, 1 Nd 3.27
Dy  0.8422  0.5649  0.4285  2 Mg 3.08-3.18, 1 Nd 3.27
Dy  0.8422  0.7773  0.4137  2 Mg 3.08-3.18, 1 Nd 3.27
Dy  0.8636  0.4285  0.0863  2 Mg 3.08-3.18, 1 Nd 3.27
Dy  0.8636  0.9351  0.7773  2 Mg 3.08-3.18, 1 Nd 3.27
Dy  0.9137  0.1364  0.5715  2 Mg 3.08-3.18, 1 Nd 3.27
Dy  0.9137  0.2773  0.3422  2 Mg 3.08-3.18, 1 Nd 3.27
Dy  0.9285  0.0649  0.3422  2 Mg 3.08-3.18, 1 Nd 3.27
Dy  0.9285  0.3636  0.5863  2 Mg 3.08-3.18, 1 Nd 3.27
Dy  0.9351  0.6578  0.0715  2 Mg 3.08-3.18, 1 Nd 3.27
Dy  0.9351  0.7773  0.8636  2 Mg 3.08-3.18, 1 Nd 3.27
Mg  0.0000  0.0000  0.0000  6 Dy 3.08
Mg  0.0000  0.0000  0.5000  6 Dy 3.08
Mg  0.0000  0.5000  0.0000  6 Dy 3.08
Mg  0.0000  0.5000  0.5000  6 Dy 3.08
Mg  0.1250  0.7500  0.8750  4 Dy 3.18
Mg  0.1250  0.8750  0.2500  4 Dy 3.18
Mg  0.2500  0.1250  0.8750  4 Dy 3.18
Mg  0.2500  0.6250  0.3750  4 Dy 3.18
Mg  0.3750  0.2500  0.6250  4 Dy 3.18
Mg  0.3750  0.6250  0.7500  4 Dy 3.18
Mg  0.5000  0.0000  0.0000  6 Dy 3.08
Mg  0.5000  0.0000  0.5000  6 Dy 3.08
Mg  0.5000  0.5000  0.0000  6 Dy 3.08
Mg  0.5000  0.5000  0.5000  6 Dy 3.08
Mg  0.6250  0.3750  0.2500  4 Dy 3.18
Mg  0.6250  0.7500  0.3750  4 Dy 3.18
Mg  0.7500  0.3750  0.6250  4 Dy 3.18
Mg  0.7500  0.8750  0.1250  4 Dy 3.18
Mg  0.8750  0.1250  0.7500  4 Dy 3.18
Mg  0.8750  0.2500  0.1250  4 Dy 3.18



No. 10
Computed, not measured: a geometry-optimized CeAlCu11 structure at the PBE level of DFT.

N(E_F)	9.3	states/eV/f.u.
SG	C2/m, No. 12
energy of formation from the pure elements	-100	meV per atom

Cell: 6.4283 6.4283 6.6354 Å, 97.80 97.80 135.51°
With the nearest neighbours (Å) after each atom.
Fractional positions:
Ce  0.0000  0.0000  0.0000  18 Cu 3.05-3.32, 2 Al 3.34
Al  0.5000  0.5000  0.5000  10 Cu 2.43-2.64
Cu  0.0000  0.0000  0.5000  2 Al 2.43, 8 Cu 2.50-2.60
Cu  0.0000  0.5000  0.0000  10 Cu 2.43-2.64
Cu  0.0089  0.6503  0.6476  8 Cu 2.49-2.75, 1 Al 2.64
Cu  0.2789  0.5031  0.7774  9 Cu 2.46-2.76, 1 Al 2.48
Cu  0.3497  0.9911  0.3524  8 Cu 2.49-2.75, 1 Al 2.64
Cu  0.4969  0.7211  0.2226  9 Cu 2.46-2.76, 1 Al 2.48
Cu  0.5000  0.0000  0.0000  10 Cu 2.43-2.64
Cu  0.5031  0.2789  0.7774  9 Cu 2.46-2.76, 1 Al 2.48
Cu  0.6503  0.0089  0.6476  8 Cu 2.49-2.75, 1 Al 2.64
Cu  0.7211  0.4969  0.2226  9 Cu 2.46-2.76, 1 Al 2.48
Cu  0.9911  0.3497  0.3524  8 Cu 2.49-2.75, 1 Al 2.64



E? In order: -0.0739; -0.2857; -0.2002; -0.1913; -0.1157; -0.3474; -0.2349; -0.2345; -0.1138; -0.1584 Ha/atom.